The following is a DFT calculation (meta-GGA SCAN) of BaZrSb2 at its PBEsol-relaxed geometry.

Calculated values
Formation energy without anion corrections (eV per atom): -0.40
SG: No. 38

Cell lengths 5.682, 3.360, 11.931 Å; angles 90.00, 90.00, 90.00 degrees
Fractional coordinates of all 8 atoms:
1 Ba 0.000 0.000 0.000
2 Ba 0.000 0.500 0.500
3 Zr 0.500 0.000 0.254
4 Zr 0.500 0.500 0.754
5 Sb 0.000 0.000 0.737
6 Sb 0.000 0.500 0.237
7 Sb 0.500 0.000 0.525
8 Sb 0.500 0.500 0.025

***

The following is a DFT calculation (meta-GGA SCAN) of Sc3TaPd at its PBEsol-relaxed geometry.

Calculated values
Formation energy (eV per formula unit): 3.70
SG: No. 221

Cell lengths 4.934, 4.934, 4.934 Å; angles 90.00, 90.00, 90.00 degrees
Fractional coordinates of all 5 atoms:
1 Sc 0.000 0.000 0.500
2 Sc 0.000 0.500 0.000
3 Sc 0.500 0.000 0.000
4 Ta 0.000 0.000 0.000
5 Pd 0.500 0.500 0.500

***

The following is a DFT calculation (meta-GGA SCAN) of AsPdPtBr2 at its PBEsol-relaxed geometry.

Calculated values
Formation energy without anion corrections (eV per atom): 0.87
SG: No. 123

Cell lengths 4.907, 4.907, 4.794 Å; angles 90.00, 90.00, 90.00 degrees
Fractional coordinates of all 5 atoms:
1 As 0.000 0.000 0.000
2 Pd 0.000 0.000 0.500
3 Pt 0.500 0.500 0.000
4 Br 0.000 0.500 0.500
5 Br 0.500 0.000 0.500

***

The following is a DFT calculation (meta-GGA SCAN) of NiRhAu2 at its PBEsol-relaxed geometry.

Calculated values
Formation energy (eV per formula unit): 0.86
SG: No. 216

Cell lengths 6.177, 6.177, 6.177 Å; angles 90.00, 90.00, 90.00 degrees
Fractional coordinates of all 16 atoms:
1 Ni 0.000 0.000 0.000
2 Ni 0.000 0.500 0.500
3 Ni 0.500 0.000 0.500
4 Ni 0.500 0.500 0.000
5 Rh 0.250 0.250 0.250
6 Rh 0.250 0.750 0.750
7 Rh 0.750 0.250 0.750
8 Rh 0.750 0.750 0.250
9 Au 0.000 0.000 0.500
10 Au 0.000 0.500 0.000
11 Au 0.250 0.250 0.750
12 Au 0.250 0.750 0.250
13 Au 0.500 0.000 0.000
14 Au 0.500 0.500 0.500
15 Au 0.750 0.250 0.250
16 Au 0.750 0.750 0.750

***

The following is a DFT calculation (meta-GGA SCAN) of Ga3RhC at its PBEsol-relaxed geometry.

Calculated values
Formation energy (eV per formula unit): 3.71
SG: No. 221

Cell lengths 4.110, 4.110, 4.110 Å; angles 90.00, 90.00, 90.00 degrees
Fractional coordinates of all 5 atoms:
1 Ga 0.000 0.000 0.500
2 Ga 0.000 0.500 0.000
3 Ga 0.500 0.000 0.000
4 Rh 0.500 0.500 0.500
5 C 0.000 0.000 0.000

***

The following is a DFT calculation (meta-GGA SCAN) of Be3CoSb at its PBEsol-relaxed geometry.

Calculated values
Formation energy without anion corrections (eV per atom): 1.62
SG: No. 221

Cell lengths 4.495, 4.495, 4.495 Å; angles 90.00, 90.00, 90.00 degrees
Fractional coordinates of all 5 atoms:
1 Be 0.000 0.000 0.500
2 Be 0.000 0.500 0.000
3 Be 0.500 0.000 0.000
4 Co 0.500 0.500 0.500
5 Sb 0.000 0.000 0.000

***

The following is a DFT calculation (meta-GGA SCAN) of Cs2PO3F at its PBEsol-relaxed geometry.

Calculated values
Formation energy without anion corrections (eV per atom): -2.64
SG: No. 62

Cell lengths 8.280, 6.324, 10.931 Å; angles 90.00, 90.00, 90.00 degrees
Fractional coordinates of all 28 atoms:
1 Cs 0.001 0.250 0.214
2 Cs 0.171 0.750 0.417
3 Cs 0.329 0.250 0.917
4 Cs 0.499 0.750 0.714
5 Cs 0.501 0.250 0.286
6 Cs 0.671 0.750 0.083
7 Cs 0.829 0.250 0.583
8 Cs 0.999 0.750 0.786
9 P 0.248 0.750 0.083
10 P 0.252 0.250 0.583
11 P 0.748 0.750 0.417
12 P 0.752 0.250 0.917
13 O 0.199 0.250 0.450
14 O 0.217 0.047 0.653
15 O 0.217 0.453 0.653
16 O 0.283 0.547 0.153
17 O 0.283 0.953 0.153
18 O 0.301 0.750 0.950
19 O 0.699 0.250 0.050
20 O 0.717 0.047 0.847
21 O 0.717 0.453 0.847
22 O 0.783 0.547 0.347
23 O 0.783 0.953 0.347
24 O 0.801 0.750 0.550
25 F 0.047 0.750 0.074
26 F 0.453 0.250 0.574
27 F 0.547 0.750 0.426
28 F 0.953 0.250 0.926

***

The following is a DFT calculation (meta-GGA SCAN) of Mg2Sb2Pb at its PBEsol-relaxed geometry.

Calculated values
Formation energy without anion corrections (eV per atom): -0.10
SG: No. 139

Cell lengths 4.439, 4.439, 13.914 Å; angles 90.00, 90.00, 90.00 degrees
Fractional coordinates of all 10 atoms:
1 Mg 0.000 0.500 0.250
2 Mg 0.000 0.500 0.750
3 Mg 0.500 0.000 0.250
4 Mg 0.500 0.000 0.750
5 Sb 0.000 0.000 0.117
6 Sb 0.000 0.000 0.883
7 Sb 0.500 0.500 0.383
8 Sb 0.500 0.500 0.617
9 Pb 0.000 0.000 0.500
10 Pb 0.500 0.500 0.000

***

The following is a DFT calculation (meta-GGA SCAN) of LiCuW2 at its PBEsol-relaxed geometry.

Calculated values
Formation energy (eV per formula unit): 1.73
SG: No. 25

Cell lengths 2.553, 4.057, 5.475 Å; angles 90.00, 90.00, 90.00 degrees
Fractional coordinates of all 4 atoms:
1 Li 0.000 0.000 0.000
2 Cu 0.500 0.500 0.780
3 W 0.000 0.000 0.517
4 W 0.500 0.500 0.268

***

The following is a DFT calculation (meta-GGA SCAN) of LiReRu2 at its PBEsol-relaxed geometry.

Calculated values
Formation energy (eV per formula unit): 0.71
SG: No. 12

Cell lengths 8.296, 2.659, 4.814 Å; angles 90.00, 94.45, 90.00 degrees
Fractional coordinates of all 8 atoms:
1 Li 0.000 0.000 0.000
2 Li 0.500 0.500 0.000
3 Re 0.000 0.500 0.500
4 Re 0.500 0.000 0.500
5 Ru 0.248 0.000 0.763
6 Ru 0.252 0.500 0.237
7 Ru 0.748 0.500 0.763
8 Ru 0.752 0.000 0.237

***

The following is a DFT calculation (meta-GGA SCAN) of NaNiPO4 at its PBEsol-relaxed geometry.

Calculated values
Formation energy without anion corrections (eV per atom): -2.19
SG: No. 63

Cell lengths 4.916, 4.916, 6.646 Å; angles 90.00, 90.00, 115.50 degrees
Fractional coordinates of all 14 atoms:
1 Na 0.186 0.814 0.750
2 Na 0.814 0.186 0.250
3 Ni 0.500 0.500 0.000
4 Ni 0.500 0.500 0.500
5 P 0.164 0.836 0.250
6 P 0.836 0.164 0.750
7 O 0.191 0.294 0.750
8 O 0.269 0.731 0.062
9 O 0.269 0.731 0.438
10 O 0.294 0.191 0.250
11 O 0.706 0.809 0.750
12 O 0.731 0.269 0.562
13 O 0.731 0.269 0.938
14 O 0.809 0.706 0.250

***

The following is a DFT calculation (meta-GGA SCAN) of CdTcP at its PBEsol-relaxed geometry.

Calculated values
Formation energy (eV per formula unit): 3.73
SG: No. 216

Cell lengths 6.154, 6.154, 6.154 Å; angles 90.00, 90.00, 90.00 degrees
Fractional coordinates of all 12 atoms:
1 Cd 0.000 0.000 0.000
2 Cd 0.000 0.500 0.500
3 Cd 0.500 0.000 0.500
4 Cd 0.500 0.500 0.000
5 Tc 0.250 0.250 0.250
6 Tc 0.250 0.750 0.750
7 Tc 0.750 0.250 0.750
8 Tc 0.750 0.750 0.250
9 P 0.250 0.250 0.750
10 P 0.250 0.750 0.250
11 P 0.750 0.250 0.250
12 P 0.750 0.750 0.750